[1]
Density functional theory data (PBE) for a relaxed structure of CaHoEr4.

**E_form**: 1.34 eV/f.u.

The structure in CIF format:
```
data_CaHoEr4
_chemical_formula_sum 'Ca1 Ho1 Er4'
_cell_length_a 6.584
_cell_length_b 6.584
_cell_length_c 6.584
_cell_angle_alpha 60.00
_cell_angle_beta 60.00
_cell_angle_gamma 60.00
_space_group_name_H-M_alt 'P 1'
_space_group_IT_number 1
loop_
_space_group_symop_operation_xyz
'x,y,z'
loop_
_atom_site_label
_atom_site_type_symbol
_atom_site_fract_x
_atom_site_fract_y
_atom_site_fract_z
Ca1 Ca 0.250 0.250 0.250
Ho1 Ho 0.000 0.000 0.000
Er1 Er 0.626 0.626 0.121
Er2 Er 0.626 0.121 0.626
Er3 Er 0.626 0.626 0.626
Er4 Er 0.121 0.626 0.626
```

[2]
Density functional theory data (PBE) for a relaxed structure of Mg5CdGaAg2.

**E_form**: -0.21 eV/f.u.

The structure in CIF format:
```
data_Mg5CdGaAg2
_chemical_formula_sum 'Mg10 Cd2 Ga2 Ag4'
_cell_length_a 7.290
_cell_length_b 7.290
_cell_length_c 8.957
_cell_angle_alpha 114.02
_cell_angle_beta 114.02
_cell_angle_gamma 90.00
_space_group_name_H-M_alt 'P 1'
_space_group_IT_number 1
loop_
_space_group_symop_operation_xyz
'x,y,z'
loop_
_atom_site_label
_atom_site_type_symbol
_atom_site_fract_x
_atom_site_fract_y
_atom_site_fract_z
Mg1 Mg 0.932 0.432 0.275
Mg2 Mg 0.657 0.157 0.725
Mg3 Mg 0.068 0.568 0.725
Mg4 Mg 0.157 0.068 0.725
Mg5 Mg 0.568 0.657 0.725
Mg6 Mg 0.843 0.932 0.275
Mg7 Mg 0.432 0.343 0.275
Mg8 Mg 0.343 0.843 0.275
Mg9 Mg 0.500 0.500 0.000
Mg10 Mg 0.000 0.000 0.000
Cd1 Cd 0.250 0.250 0.500
Cd2 Cd 0.750 0.750 0.500
Ga1 Ga 0.250 0.750 0.500
Ga2 Ga 0.750 0.250 0.500
Ag1 Ag 0.128 0.372 0.000
Ag2 Ag 0.628 0.128 0.000
Ag3 Ag 0.372 0.872 0.000
Ag4 Ag 0.872 0.628 0.000
```

[3]
Density functional theory data (PBE) for a relaxed structure of TbEr12Sc2.

**E_form**: 6.31 eV/f.u.

The structure in CIF format:
```
data_TbEr12Sc2
_chemical_formula_sum 'Tb2 Er24 Sc4'
_cell_length_a 6.257
_cell_length_b 6.257
_cell_length_c 24.801
_cell_angle_alpha 90.00
_cell_angle_beta 90.00
_cell_angle_gamma 90.00
_space_group_name_H-M_alt 'P 1'
_space_group_IT_number 1
loop_
_space_group_symop_operation_xyz
'x,y,z'
loop_
_atom_site_label
_atom_site_type_symbol
_atom_site_fract_x
_atom_site_fract_y
_atom_site_fract_z
Tb1 Tb 0.500 0.000 0.000
Tb2 Tb 0.000 0.500 0.000
Er1 Er 0.500 0.500 0.783
Er2 Er 0.000 0.000 0.783
Er3 Er 0.750 0.750 0.887
Er4 Er 0.250 0.750 0.887
Er5 Er 0.000 0.000 0.339
Er6 Er 0.250 0.750 0.113
Er7 Er 0.830 0.330 0.561
Er8 Er 0.500 0.500 0.339
Er9 Er 0.250 0.250 0.887
Er10 Er 0.750 0.750 0.113
Er11 Er 0.330 0.170 0.561
Er12 Er 0.670 0.170 0.439
Er13 Er 0.000 0.000 0.661
Er14 Er 0.170 0.330 0.439
Er15 Er 0.250 0.250 0.113
Er16 Er 0.830 0.670 0.439
Er17 Er 0.670 0.830 0.561
Er18 Er 0.000 0.000 0.217
Er19 Er 0.170 0.670 0.561
Er20 Er 0.500 0.500 0.661
Er21 Er 0.750 0.250 0.887
Er22 Er 0.500 0.500 0.217
Er23 Er 0.330 0.830 0.439
Er24 Er 0.750 0.250 0.113
Sc1 Sc 0.500 0.000 0.277
Sc2 Sc 0.000 0.500 0.277
Sc3 Sc 0.000 0.500 0.723
Sc4 Sc 0.500 0.000 0.723
```

[4]
Density functional theory data (PBE) for a relaxed structure of Rb2MgSnBr6.

**Uncorrected formation energy**: -131.0 kJ per mole of atoms

The structure in CIF format:
```
data_Rb2MgSnBr6
_chemical_formula_sum 'Rb2 Mg1 Sn1 Br6'
_cell_length_a 7.972
_cell_length_b 7.972
_cell_length_c 7.970
_cell_angle_alpha 59.99
_cell_angle_beta 59.99
_cell_angle_gamma 90.00
_space_group_name_H-M_alt 'P 1'
_space_group_IT_number 1
loop_
_space_group_symop_operation_xyz
'x,y,z'
loop_
_atom_site_label
_atom_site_type_symbol
_atom_site_fract_x
_atom_site_fract_y
_atom_site_fract_z
Mg1 Mg 0.500 0.500 0.000
Br1 Br 0.261 0.261 0.477
Br2 Br 0.739 0.739 0.523
Br3 Br 0.261 0.261 0.000
Br4 Br 0.739 0.739 0.000
Br5 Br 0.739 0.261 0.000
Br6 Br 0.261 0.739 0.000
Sn1 Sn 0.000 0.000 0.000
Rb1 Rb 0.750 0.250 0.500
Rb2 Rb 0.250 0.750 0.500
```

[5]
Density functional theory data (PBE) for a relaxed structure of LiCr2Mo.

**E_form**: 3.64 eV/f.u.

The structure in CIF format:
```
data_LiCr2Mo
_chemical_formula_sum 'Li2 Cr4 Mo2'
_cell_length_a 6.595
_cell_length_b 6.595
_cell_length_c 5.328
_cell_angle_alpha 51.76
_cell_angle_beta 51.76
_cell_angle_gamma 90.00
_space_group_name_H-M_alt 'P 1'
_space_group_IT_number 1
loop_
_space_group_symop_operation_xyz
'x,y,z'
loop_
_atom_site_label
_atom_site_type_symbol
_atom_site_fract_x
_atom_site_fract_y
_atom_site_fract_z
Cr1 Cr 0.625 0.125 0.250
Cr2 Cr 0.125 0.625 0.250
Cr3 Cr 0.375 0.375 0.750
Cr4 Cr 0.875 0.875 0.750
Mo1 Mo 0.000 0.000 0.000
Mo2 Mo 0.750 0.250 0.500
Li1 Li 0.500 0.500 0.000
Li2 Li 0.250 0.750 0.500
```

[6]
Density functional theory data (PBE) for a relaxed structure of Ga3WS.

**Uncorrected formation energy**: 113.9 kJ per mole of atoms

The structure in CIF format:
```
data_Ga3WS
_chemical_formula_sum 'Ga3 W1 S1'
_cell_length_a 4.595
_cell_length_b 4.595
_cell_length_c 4.595
_cell_angle_alpha 90.00
_cell_angle_beta 90.00
_cell_angle_gamma 90.00
_space_group_name_H-M_alt 'P 1'
_space_group_IT_number 1
loop_
_space_group_symop_operation_xyz
'x,y,z'
loop_
_atom_site_label
_atom_site_type_symbol
_atom_site_fract_x
_atom_site_fract_y
_atom_site_fract_z
S1 S 0.000 0.000 0.000
Ga1 Ga 0.000 0.500 0.000
Ga2 Ga 0.000 0.000 0.500
Ga3 Ga 0.500 0.000 0.000
W1 W 0.500 0.500 0.500
```

[7]
Density functional theory data (PBE) for a relaxed structure of TlAgAu.

**E_form**: 0.19 eV/f.u.

The structure in CIF format:
```
data_TlAgAu
_chemical_formula_sum 'Tl2 Ag2 Au2'
_cell_length_a 5.309
_cell_length_b 3.815
_cell_length_c 7.390
_cell_angle_alpha 88.82
_cell_angle_beta 107.25
_cell_angle_gamma 68.48
_space_group_name_H-M_alt 'P 1'
_space_group_IT_number 1
loop_
_space_group_symop_operation_xyz
'x,y,z'
loop_
_atom_site_label
_atom_site_type_symbol
_atom_site_fract_x
_atom_site_fract_y
_atom_site_fract_z
Tl1 Tl 0.666 0.157 0.385
Tl2 Tl 0.334 0.843 0.615
Ag1 Ag 0.991 0.512 0.790
Ag2 Ag 0.009 0.488 0.210
Au1 Au 0.670 0.167 0.935
Au2 Au 0.330 0.833 0.065
```

[8]
Density functional theory data (PBE) for a relaxed structure of CoMoIr2.

**E_form**: 0.71 eV/f.u.

The structure in CIF format:
```
data_CoMoIr2
_chemical_formula_sum 'Co1 Mo1 Ir2'
_cell_length_a 4.324
_cell_length_b 4.324
_cell_length_c 4.324
_cell_angle_alpha 60.00
_cell_angle_beta 60.00
_cell_angle_gamma 60.00
_space_group_name_H-M_alt 'P 1'
_space_group_IT_number 1
loop_
_space_group_symop_operation_xyz
'x,y,z'
loop_
_atom_site_label
_atom_site_type_symbol
_atom_site_fract_x
_atom_site_fract_y
_atom_site_fract_z
Mo1 Mo 0.500 0.500 0.500
Ir1 Ir 0.250 0.250 0.250
Ir2 Ir 0.750 0.750 0.750
Co1 Co 0.000 0.000 0.000
```

[9]
Density functional theory data (PBE) for a relaxed structure of Li3Ge4Au4.

**E_form**: -2.83 eV/f.u.

The structure in CIF format:
```
data_Li3Ge4Au4
_chemical_formula_sum 'Li3 Ge4 Au4'
_cell_length_a 4.547
_cell_length_b 3.029
_cell_length_c 14.295
_cell_angle_alpha 96.08
_cell_angle_beta 99.15
_cell_angle_gamma 90.00
_space_group_name_H-M_alt 'P 1'
_space_group_IT_number 1
loop_
_space_group_symop_operation_xyz
'x,y,z'
loop_
_atom_site_label
_atom_site_type_symbol
_atom_site_fract_x
_atom_site_fract_y
_atom_site_fract_z
Li1 Li 0.363 0.863 0.726
Li2 Li 0.637 0.137 0.274
Li3 Li 0.000 0.000 0.000
Ge1 Ge 0.820 0.320 0.639
Ge2 Ge 0.454 0.454 0.909
Ge3 Ge 0.546 0.546 0.091
Ge4 Ge 0.180 0.680 0.361
Au1 Au 0.276 0.276 0.552
Au2 Au 0.088 0.588 0.176
Au3 Au 0.912 0.412 0.824
Au4 Au 0.724 0.724 0.448
```

[10]
Density functional theory data (PBE) for a relaxed structure of ZnGa2P2.

**E_form**: 1.21 eV/f.u.

The structure in CIF format:
```
data_ZnGa2P2
_chemical_formula_sum 'Zn1 Ga2 P2'
_cell_length_a 4.458
_cell_length_b 4.458
_cell_length_c 5.725
_cell_angle_alpha 67.08
_cell_angle_beta 67.08
_cell_angle_gamma 90.00
_space_group_name_H-M_alt 'P 1'
_space_group_IT_number 1
loop_
_space_group_symop_operation_xyz
'x,y,z'
loop_
_atom_site_label
_atom_site_type_symbol
_atom_site_fract_x
_atom_site_fract_y
_atom_site_fract_z
P1 P 0.750 0.250 0.500
P2 P 0.250 0.750 0.500
Zn1 Zn 0.000 0.000 0.000
Ga1 Ga 0.372 0.372 0.256
Ga2 Ga 0.628 0.628 0.744
```

[11]
Density functional theory data (PBE) for a relaxed structure of CuPb6F12.

**Uncorrected formation energy**: -199.0 kJ per mole of atoms

The structure in CIF format:
```
data_CuPb6F12
_chemical_formula_sum 'Cu1 Pb6 F12'
_cell_length_a 7.241
_cell_length_b 7.241
_cell_length_c 7.241
_cell_angle_alpha 98.98
_cell_angle_beta 98.98
_cell_angle_gamma 98.98
_space_group_name_H-M_alt 'P 1'
_space_group_IT_number 1
loop_
_space_group_symop_operation_xyz
'x,y,z'
loop_
_atom_site_label
_atom_site_type_symbol
_atom_site_fract_x
_atom_site_fract_y
_atom_site_fract_z
Cu1 Cu 0.000 0.000 0.000
Pb1 Pb 0.721 0.862 0.411
Pb2 Pb 0.589 0.279 0.138
Pb3 Pb 0.138 0.589 0.279
Pb4 Pb 0.279 0.138 0.589
Pb5 Pb 0.411 0.721 0.862
Pb6 Pb 0.862 0.411 0.721
F1 F 0.822 0.540 0.391
F2 F 0.391 0.822 0.540
F3 F 0.540 0.391 0.822
F4 F 0.178 0.460 0.609
F5 F 0.609 0.178 0.460
F6 F 0.460 0.609 0.178
F7 F 0.040 0.903 0.314
F8 F 0.097 0.686 0.960
F9 F 0.686 0.960 0.097
F10 F 0.960 0.097 0.686
F11 F 0.903 0.314 0.040
F12 F 0.314 0.040 0.903
```

[12]
Density functional theory data (PBE) for a relaxed structure of CaAgBi2S4.

**Uncorrected formation energy**: -61.6 kJ per mole of atoms

The structure in CIF format:
```
data_CaAgBi2S4
_chemical_formula_sum 'Ca1 Ag1 Bi2 S4'
_cell_length_a 5.806
_cell_length_b 5.806
_cell_length_c 7.022
_cell_angle_alpha 114.42
_cell_angle_beta 114.42
_cell_angle_gamma 90.00
_space_group_name_H-M_alt 'P 1'
_space_group_IT_number 1
loop_
_space_group_symop_operation_xyz
'x,y,z'
loop_
_atom_site_label
_atom_site_type_symbol
_atom_site_fract_x
_atom_site_fract_y
_atom_site_fract_z
Ca1 Ca 0.500 0.500 0.000
Ag1 Ag 0.750 0.250 0.500
Bi1 Bi 0.250 0.750 0.500
Bi2 Bi 0.000 0.000 0.000
S1 S 0.003 0.503 0.006
S2 S 0.497 0.997 0.994
S3 S 0.753 0.753 0.505
S4 S 0.247 0.247 0.495
```